1.
# PBE AcPrSmTl, optimized geometry
data_AcPrSmTl
_chemical_formula_sum 'Ac2 Pr2 Sm2 Tl2'
_cell_length_a 9.4938
_cell_length_b 6.0872
_cell_length_c 6.0873
_cell_angle_alpha 90.00
_cell_angle_beta 129.73
_cell_angle_gamma 90.00
_symmetry_space_group_name_H-M 'P 1'
_symmetry_Int_Tables_number 1
loop_
_symmetry_equiv_pos_as_xyz
'x,y,z'
loop_
_atom_site_label
_atom_site_type_symbol
_atom_site_fract_x
_atom_site_fract_y
_atom_site_fract_z
Ac1 Ac 0.0000 0.0000 0.0000
Ac2 Ac 0.5000 0.5000 0.0000
Pr1 Pr 0.2500 0.5000 0.2508
Pr2 Pr 0.7500 0.0000 0.2508
Sm1 Sm 0.2500 0.0000 0.7492
Sm2 Sm 0.7500 0.5000 0.7492
Tl1 Tl 0.0000 0.5000 0.5002
Tl2 Tl 0.5000 0.0000 0.5002
# - Polymorph energy (0 for the lowest one): 0.000 eV/f.u.
# - Calculated volume: 270.5 Å³ per cell
# - E_form: -30.7 meV/atom
# - Raw total energy: -32.19 eV for the cell shown

---

2.
# PBE AcPr2SmTl2, optimized geometry
data_AcPr2SmTl2
_chemical_formula_sum 'Ac2 Pr4 Sm2 Tl4'
_cell_length_a 5.2918
_cell_length_b 10.4924
_cell_length_c 7.2615
_cell_angle_alpha 90.00
_cell_angle_beta 90.00
_cell_angle_gamma 90.00
_symmetry_space_group_name_H-M 'P 1'
_symmetry_Int_Tables_number 1
loop_
_symmetry_equiv_pos_as_xyz
'x,y,z'
loop_
_atom_site_label
_atom_site_type_symbol
_atom_site_fract_x
_atom_site_fract_y
_atom_site_fract_z
Ac1 Ac 0.0000 0.0499 0.0000
Ac2 Ac 0.0000 0.9501 0.5000
Pr1 Pr 0.0000 0.3209 0.3877
Pr2 Pr 0.0000 0.6791 0.8877
Pr3 Pr 0.5000 0.4502 0.1080
Pr4 Pr 0.5000 0.5498 0.6080
Sm1 Sm 0.5000 0.1963 0.7175
Sm2 Sm 0.5000 0.8037 0.2175
Tl1 Tl 0.0000 0.3667 0.8422
Tl2 Tl 0.0000 0.6333 0.3422
Tl3 Tl 0.5000 0.1337 0.2733
Tl4 Tl 0.5000 0.8663 0.7733
# - Calculated volume: 403.2 Å³ per cell
# - E_form: -243.4 meV/atom
# - Raw total energy: -49.16 eV for the cell shown

---

Question: Which of these has the highest E_form?
Answer: AcPrSmTl

---

Question: Which formula does entry 2 have?
Answer: AcPr2SmTl2

---

Question: E_form of number 1 (AcPrSmTl)?
Answer: -30.7 meV/atom

---

Question: What is the calculated volume in the second record?
Answer: 403.2 Å³ per cell